No. 1
# ZnReF6 (PBE-GGA, relaxed)
# N(E_F)	0.00	states/eV/f.u.
# raw formation energy	-2.125	eV per atom
# total DFT energy (no corrections)	-5.2442	eV per atom
data_ZnReF6
_space_group_name_H-M_alt 'P 1'
_space_group_IT_number 1
_cell_length_a 5.225
_cell_length_b 5.225
_cell_length_c 5.589
_cell_angle_alpha 62.12
_cell_angle_beta 62.12
_cell_angle_gamma 59.99
loop_
_space_group_symop_operation_xyz
'x,y,z'
loop_
_atom_site_label
_atom_site_type_symbol
_atom_site_fract_x
_atom_site_fract_y
_atom_site_fract_z
Zn1 Zn 0.500 0.500 0.500
Re1 Re 0.000 0.000 0.000
F1 F 0.120 0.370 0.754
F2 F 0.880 0.630 0.246
F3 F 0.630 0.244 0.246
F4 F 0.756 0.120 0.754
F5 F 0.244 0.880 0.246
F6 F 0.370 0.756 0.754

No. 2
# ZrReF2 (PBE-GGA, relaxed)
# N(E_F)	2.07	states/eV/f.u.
# raw formation energy	-0.216	eV per atom
# total DFT energy (no corrections)	-6.4004	eV per atom
data_ZrReF2
_space_group_name_H-M_alt 'P 1'
_space_group_IT_number 1
_cell_length_a 4.348
_cell_length_b 4.348
_cell_length_c 4.348
_cell_angle_alpha 60.00
_cell_angle_beta 60.00
_cell_angle_gamma 60.00
loop_
_space_group_symop_operation_xyz
'x,y,z'
loop_
_atom_site_label
_atom_site_type_symbol
_atom_site_fract_x
_atom_site_fract_y
_atom_site_fract_z
Re1 Re 0.500 0.500 0.500
F1 F 0.750 0.750 0.750
F2 F 0.250 0.250 0.250
Zr1 Zr 0.000 0.000 0.000

No. 3
# Zr3ReF (PBE-GGA, relaxed)
# N(E_F)	1.19	states/eV/f.u.
# raw formation energy	0.416	eV per atom
# total DFT energy (no corrections)	-7.5768	eV per atom
data_Zr3ReF
_space_group_name_H-M_alt 'P 1'
_space_group_IT_number 1
_cell_length_a 5.122
_cell_length_b 5.122
_cell_length_c 5.122
_cell_angle_alpha 90.00
_cell_angle_beta 90.00
_cell_angle_gamma 90.00
loop_
_space_group_symop_operation_xyz
'x,y,z'
loop_
_atom_site_label
_atom_site_type_symbol
_atom_site_fract_x
_atom_site_fract_y
_atom_site_fract_z
Zr1 Zr 0.000 0.000 0.500
Zr2 Zr 0.000 0.500 0.000
Zr3 Zr 0.500 0.000 0.000
F1 F 0.500 0.500 0.500
Re1 Re 0.000 0.000 0.000

No. 4
# Zr3ReF (PBE-GGA, relaxed)
# N(E_F)	9.22	states/eV/f.u.
# raw formation energy	-0.354	eV per atom
# total DFT energy (no corrections)	-8.3469	eV per atom
data_Zr3ReF
_space_group_name_H-M_alt 'P 1'
_space_group_IT_number 1
_cell_length_a 4.481
_cell_length_b 4.481
_cell_length_c 4.481
_cell_angle_alpha 90.00
_cell_angle_beta 90.00
_cell_angle_gamma 90.00
loop_
_space_group_symop_operation_xyz
'x,y,z'
loop_
_atom_site_label
_atom_site_type_symbol
_atom_site_fract_x
_atom_site_fract_y
_atom_site_fract_z
F1 F 0.000 0.000 0.000
Re1 Re 0.500 0.500 0.500
Zr1 Zr 0.000 0.500 0.000
Zr2 Zr 0.000 0.000 0.500
Zr3 Zr 0.500 0.000 0.000

No. 5
# ZrReF3 (PBE-GGA, relaxed)
# N(E_F)	3.18	states/eV/f.u.
# raw formation energy	-0.312	eV per atom
# total DFT energy (no corrections)	-5.6340	eV per atom
data_ZrReF3
_space_group_name_H-M_alt 'P 1'
_space_group_IT_number 1
_cell_length_a 4.250
_cell_length_b 4.250
_cell_length_c 4.250
_cell_angle_alpha 90.00
_cell_angle_beta 90.00
_cell_angle_gamma 90.00
loop_
_space_group_symop_operation_xyz
'x,y,z'
loop_
_atom_site_label
_atom_site_type_symbol
_atom_site_fract_x
_atom_site_fract_y
_atom_site_fract_z
F1 F 0.000 0.500 0.000
F2 F 0.500 0.000 0.000
F3 F 0.000 0.000 0.500
Zr1 Zr 0.500 0.500 0.500
Re1 Re 0.000 0.000 0.000

No. 6
# ZrReF2 (PBE-GGA, relaxed)
# N(E_F)	3.55	states/eV/f.u.
# raw formation energy	-0.758	eV per atom
# total DFT energy (no corrections)	-6.9423	eV per atom
data_ZrReF2
_space_group_name_H-M_alt 'P 1'
_space_group_IT_number 1
_cell_length_a 3.783
_cell_length_b 3.783
_cell_length_c 8.252
_cell_angle_alpha 76.75
_cell_angle_beta 76.75
_cell_angle_gamma 90.00
loop_
_space_group_symop_operation_xyz
'x,y,z'
loop_
_atom_site_label
_atom_site_type_symbol
_atom_site_fract_x
_atom_site_fract_y
_atom_site_fract_z
F1 F 0.375 0.369 0.750
F2 F 0.875 0.881 0.750
F3 F 0.119 0.625 0.250
F4 F 0.631 0.125 0.250
Zr1 Zr 0.250 0.750 0.500
Zr2 Zr 0.500 0.500 0.000
Re1 Re 0.750 0.250 0.500
Re2 Re 0.000 0.000 0.000

No. 7
# Zr2ReF (PBE-GGA, relaxed)
# N(E_F)	3.00	states/eV/f.u.
# raw formation energy	-0.471	eV per atom
# total DFT energy (no corrections)	-8.3249	eV per atom
data_Zr2ReF
_space_group_name_H-M_alt 'P 1'
_space_group_IT_number 1
_cell_length_a 4.614
_cell_length_b 4.614
_cell_length_c 4.614
_cell_angle_alpha 60.00
_cell_angle_beta 60.00
_cell_angle_gamma 60.00
loop_
_space_group_symop_operation_xyz
'x,y,z'
loop_
_atom_site_label
_atom_site_type_symbol
_atom_site_fract_x
_atom_site_fract_y
_atom_site_fract_z
F1 F 0.000 0.000 0.000
Re1 Re 0.500 0.500 0.500
Zr1 Zr 0.750 0.750 0.750
Zr2 Zr 0.250 0.250 0.250

No. 8
# ZrRe3F (PBE-GGA, relaxed)
# N(E_F)	4.47	states/eV/f.u.
# raw formation energy	0.895	eV per atom
# total DFT energy (no corrections)	-8.6574	eV per atom
data_ZrRe3F
_space_group_name_H-M_alt 'P 1'
_space_group_IT_number 1
_cell_length_a 4.286
_cell_length_b 4.286
_cell_length_c 4.286
_cell_angle_alpha 90.00
_cell_angle_beta 90.00
_cell_angle_gamma 90.00
loop_
_space_group_symop_operation_xyz
'x,y,z'
loop_
_atom_site_label
_atom_site_type_symbol
_atom_site_fract_x
_atom_site_fract_y
_atom_site_fract_z
Re1 Re 0.000 0.000 0.500
Re2 Re 0.500 0.000 0.000
Re3 Re 0.000 0.500 0.000
Zr1 Zr 0.500 0.500 0.500
F1 F 0.000 0.000 0.000

No. 9
# Zr2ReF (PBE-GGA, relaxed)
# N(E_F)	3.34	states/eV/f.u.
# raw formation energy	-0.591	eV per atom
# total DFT energy (no corrections)	-8.4445	eV per atom
data_Zr2ReF
_space_group_name_H-M_alt 'P 1'
_space_group_IT_number 1
_cell_length_a 6.535
_cell_length_b 6.535
_cell_length_c 5.723
_cell_angle_alpha 55.18
_cell_angle_beta 55.18
_cell_angle_gamma 90.00
loop_
_space_group_symop_operation_xyz
'x,y,z'
loop_
_atom_site_label
_atom_site_type_symbol
_atom_site_fract_x
_atom_site_fract_y
_atom_site_fract_z
Re1 Re 0.750 0.250 0.500
Re2 Re 0.000 0.000 0.000
F1 F 0.250 0.750 0.500
F2 F 0.500 0.500 0.000
Zr1 Zr 0.570 0.125 0.250
Zr2 Zr 0.875 0.820 0.750
Zr3 Zr 0.375 0.430 0.750
Zr4 Zr 0.180 0.625 0.250

No. 10
# ZrRe3F (PBE-GGA, relaxed)
# N(E_F)	11.08	states/eV/f.u.
# raw formation energy	2.823	eV per atom
# total DFT energy (no corrections)	-6.7294	eV per atom
data_ZrRe3F
_space_group_name_H-M_alt 'P 1'
_space_group_IT_number 1
_cell_length_a 4.869
_cell_length_b 4.869
_cell_length_c 4.869
_cell_angle_alpha 90.00
_cell_angle_beta 90.00
_cell_angle_gamma 90.00
loop_
_space_group_symop_operation_xyz
'x,y,z'
loop_
_atom_site_label
_atom_site_type_symbol
_atom_site_fract_x
_atom_site_fract_y
_atom_site_fract_z
F1 F 0.500 0.500 0.500
Zr1 Zr 0.000 0.000 0.000
Re1 Re 0.500 0.000 0.000
Re2 Re 0.000 0.500 0.000
Re3 Re 0.000 0.000 0.500

No. 11
# ZrReF2 (PBE-GGA, relaxed)
# N(E_F)	2.09	states/eV/f.u.
# raw formation energy	-1.088	eV per atom
# total DFT energy (no corrections)	-7.2725	eV per atom
data_ZrReF2
_space_group_name_H-M_alt 'P 1'
_space_group_IT_number 1
_cell_length_a 7.782
_cell_length_b 7.782
_cell_length_c 7.782
_cell_angle_alpha 20.77
_cell_angle_beta 20.77
_cell_angle_gamma 20.77
loop_
_space_group_symop_operation_xyz
'x,y,z'
loop_
_atom_site_label
_atom_site_type_symbol
_atom_site_fract_x
_atom_site_fract_y
_atom_site_fract_z
F1 F 0.095 0.095 0.095
F2 F 0.905 0.905 0.905
Re1 Re 0.000 0.000 0.000
Zr1 Zr 0.500 0.500 0.500

No. 12
# ZrReF3 (PBE-GGA, relaxed)
# N(E_F)	4.44	states/eV/f.u.
# raw formation energy	-1.018	eV per atom
# total DFT energy (no corrections)	-6.3402	eV per atom
data_ZrReF3
_space_group_name_H-M_alt 'P 1'
_space_group_IT_number 1
_cell_length_a 4.384
_cell_length_b 4.384
_cell_length_c 4.384
_cell_angle_alpha 90.00
_cell_angle_beta 90.00
_cell_angle_gamma 90.00
loop_
_space_group_symop_operation_xyz
'x,y,z'
loop_
_atom_site_label
_atom_site_type_symbol
_atom_site_fract_x
_atom_site_fract_y
_atom_site_fract_z
F1 F 0.000 0.500 0.000
F2 F 0.000 0.000 0.500
F3 F 0.500 0.000 0.000
Re1 Re 0.500 0.500 0.500
Zr1 Zr 0.000 0.000 0.000

No. 13
# ZrReF2 (PBE-GGA, relaxed)
# N(E_F)	3.28	states/eV/f.u.
# raw formation energy	-0.375	eV per atom
# total DFT energy (no corrections)	-6.5600	eV per atom
data_ZrReF2
_space_group_name_H-M_alt 'P 1'
_space_group_IT_number 1
_cell_length_a 4.612
_cell_length_b 4.612
_cell_length_c 4.612
_cell_angle_alpha 51.11
_cell_angle_beta 51.11
_cell_angle_gamma 51.11
loop_
_space_group_symop_operation_xyz
'x,y,z'
loop_
_atom_site_label
_atom_site_type_symbol
_atom_site_fract_x
_atom_site_fract_y
_atom_site_fract_z
Zr1 Zr 0.000 0.000 0.000
F1 F 0.185 0.185 0.185
F2 F 0.815 0.815 0.815
Re1 Re 0.500 0.500 0.500

No. 14
# Rh3F (PBE-GGA, relaxed)
# N(E_F)	5.55	states/eV/f.u.
# raw formation energy	0.202	eV per atom
# total DFT energy (no corrections)	-5.7791	eV per atom
data_Rh3F
_space_group_name_H-M_alt 'P 1'
_space_group_IT_number 1
_cell_length_a 4.331
_cell_length_b 4.331
_cell_length_c 4.331
_cell_angle_alpha 123.19
_cell_angle_beta 123.19
_cell_angle_gamma 84.57
loop_
_space_group_symop_operation_xyz
'x,y,z'
loop_
_atom_site_label
_atom_site_type_symbol
_atom_site_fract_x
_atom_site_fract_y
_atom_site_fract_z
Rh1 Rh 0.750 0.250 0.500
Rh2 Rh 0.250 0.750 0.500
Rh3 Rh 0.500 0.500 0.000
F1 F 0.000 0.000 0.000

No. 15
# RhF3 (PBE-GGA, relaxed)
# raw formation energy	-1.507	eV per atom
# total DFT energy (no corrections)	-4.7485	eV per atom
data_RhF3
_space_group_name_H-M_alt 'P 1'
_space_group_IT_number 1
_cell_length_a 5.071
_cell_length_b 5.435
_cell_length_c 7.478
_cell_angle_alpha 90.00
_cell_angle_beta 90.00
_cell_angle_gamma 90.00
loop_
_space_group_symop_operation_xyz
'x,y,z'
loop_
_atom_site_label
_atom_site_type_symbol
_atom_site_fract_x
_atom_site_fract_y
_atom_site_fract_z
F1 F 0.668 0.179 0.070
F2 F 0.643 0.458 0.750
F3 F 0.832 0.679 0.430
F4 F 0.832 0.679 0.070
F5 F 0.143 0.042 0.250
F6 F 0.332 0.821 0.570
F7 F 0.668 0.179 0.430
F8 F 0.168 0.321 0.930
F9 F 0.857 0.958 0.750
F10 F 0.168 0.321 0.570
F11 F 0.357 0.542 0.250
F12 F 0.332 0.821 0.930
Rh1 Rh 0.000 0.000 0.500
Rh2 Rh 0.000 0.000 0.000
Rh3 Rh 0.500 0.500 0.500
Rh4 Rh 0.500 0.500 0.000

No. 16
# RhF3 (PBE-GGA, relaxed)
# N(E_F)	2.14	states/eV/f.u.
# raw formation energy	-1.166	eV per atom
# total DFT energy (no corrections)	-4.4073	eV per atom
data_RhF3
_space_group_name_H-M_alt 'P 1'
_space_group_IT_number 1
_cell_length_a 5.615
_cell_length_b 5.615
_cell_length_c 5.728
_cell_angle_alpha 64.95
_cell_angle_beta 64.95
_cell_angle_gamma 63.54
loop_
_space_group_symop_operation_xyz
'x,y,z'
loop_
_atom_site_label
_atom_site_type_symbol
_atom_site_fract_x
_atom_site_fract_y
_atom_site_fract_z
F1 F 0.240 0.210 0.322
F2 F 0.240 0.760 0.250
F3 F 0.790 0.760 0.178
F4 F 0.210 0.240 0.822
F5 F 0.760 0.790 0.678
F6 F 0.760 0.240 0.750
Rh1 Rh 0.000 0.000 0.500
Rh2 Rh 0.000 0.000 0.000

No. 17
# RhF3 (PBE-GGA, relaxed)
# N(E_F)	10.11	states/eV/f.u.
# raw formation energy	-0.519	eV per atom
# total DFT energy (no corrections)	-3.7604	eV per atom
data_RhF3
_space_group_name_H-M_alt 'P 1'
_space_group_IT_number 1
_cell_length_a 6.777
_cell_length_b 6.777
_cell_length_c 6.777
_cell_angle_alpha 28.66
_cell_angle_beta 28.66
_cell_angle_gamma 28.66
loop_
_space_group_symop_operation_xyz
'x,y,z'
loop_
_atom_site_label
_atom_site_type_symbol
_atom_site_fract_x
_atom_site_fract_y
_atom_site_fract_z
F1 F 0.122 0.122 0.122
F2 F 0.000 0.000 0.000
F3 F 0.878 0.878 0.878
Rh1 Rh 0.500 0.500 0.500

No. 18
# RhF3 (PBE-GGA, relaxed)
# raw formation energy	-1.099	eV per atom
# total DFT energy (no corrections)	-4.3402	eV per atom
data_RhF3
_space_group_name_H-M_alt 'P 1'
_space_group_IT_number 1
_cell_length_a 3.057
_cell_length_b 4.917
_cell_length_c 4.812
_cell_angle_alpha 120.73
_cell_angle_beta 108.52
_cell_angle_gamma 90.00
loop_
_space_group_symop_operation_xyz
'x,y,z'
loop_
_atom_site_label
_atom_site_type_symbol
_atom_site_fract_x
_atom_site_fract_y
_atom_site_fract_z
F1 F 0.345 0.746 0.690
F2 F 0.655 0.056 0.310
F3 F 0.500 0.322 0.000
Rh1 Rh 0.000 0.043 0.000

No. 19
# RhF3 (PBE-GGA, relaxed)
# raw formation energy	-1.422	eV per atom
# total DFT energy (no corrections)	-4.6633	eV per atom
data_RhF3
_space_group_name_H-M_alt 'P 1'
_space_group_IT_number 1
_cell_length_a 5.193
_cell_length_b 5.193
_cell_length_c 7.220
_cell_angle_alpha 90.00
_cell_angle_beta 90.00
_cell_angle_gamma 120.00
loop_
_space_group_symop_operation_xyz
'x,y,z'
loop_
_atom_site_label
_atom_site_type_symbol
_atom_site_fract_x
_atom_site_fract_y
_atom_site_fract_z
F1 F 0.332 0.276 0.178
F2 F 0.055 0.724 0.822
F3 F 0.370 0.000 0.500
F4 F 0.668 0.945 0.822
F5 F 0.630 0.630 0.500
F6 F 0.276 0.332 0.822
F7 F 0.724 0.055 0.178
F8 F 0.000 0.370 0.500
F9 F 0.945 0.668 0.178
Rh1 Rh 0.667 0.333 0.339
Rh2 Rh 0.000 0.000 0.000
Rh3 Rh 0.333 0.667 0.661

No. 20
# Rh4F (PBE-GGA, relaxed)
# N(E_F)	10.43	states/eV/f.u.
# raw formation energy	0.796	eV per atom
# total DFT energy (no corrections)	-5.4593	eV per atom
data_Rh4F
_space_group_name_H-M_alt 'P 1'
_space_group_IT_number 1
_cell_length_a 4.216
_cell_length_b 4.216
_cell_length_c 4.216
_cell_angle_alpha 90.00
_cell_angle_beta 90.00
_cell_angle_gamma 90.00
loop_
_space_group_symop_operation_xyz
'x,y,z'
loop_
_atom_site_label
_atom_site_type_symbol
_atom_site_fract_x
_atom_site_fract_y
_atom_site_fract_z
Rh1 Rh 0.000 0.000 0.000
Rh2 Rh 0.500 0.500 0.000
Rh3 Rh 0.500 0.000 0.500
Rh4 Rh 0.000 0.500 0.500
F1 F 0.500 0.500 0.500